5
Lattice="-3.4166 3.4166 6.7063 3.4166 -3.4166 6.7063 3.4166 3.4166 -6.7063" Properties=species:S:1:pos:R:3 comment="GGA-PBE K2HgI2, relaxed" final_energy_ev_per_atom=-2.172 e_form_raw_ev_per_atom=-1.053 magmom_total_mub_per_fu=0.00 de_polymorph_mev_per_atom=59.5 rho_g_cm3=2.82 pbc="T T T"
K 0.0000 0.0000 2.9221
K 0.0000 0.0000 10.4905
Hg 0.0000 0.0000 6.7063
I 3.4166 0.0000 3.3531
I 0.0000 3.4166 3.3531

=====

8
Lattice="4.1875 0.0000 0.0000 0.0000 4.1875 0.0000 0.0000 0.0000 14.4747" Properties=species:S:1:pos:R:3 comment="GGA-PBE Tb3Sm4Tl, relaxed" final_energy_ev_per_atom=-4.386 magmom_total_mub_per_fu=0.00 de_polymorph_mev_per_atom=68.5 rho_g_cm3=8.39 pbc="T T T"
Tb 0.0000 0.0000 0.0000
Tb 0.0000 0.0000 3.6697
Tb 0.0000 0.0000 10.8050
Sm 2.0937 2.0937 1.8543
Sm 2.0937 2.0937 5.5890
Sm 2.0937 2.0937 8.8857
Sm 2.0937 2.0937 12.6203
Tl 0.0000 0.0000 7.2373

=====

8
Lattice="-1.8771 2.7701 11.3199 1.8771 -2.7701 11.3199 1.8771 2.7701 -11.3199" Properties=species:S:1:pos:R:3 comment="GGA-PBE Pr3Tm2Cd3, relaxed" final_energy_ev_per_atom=-3.483 magmom_total_mub_per_fu=0.35 rho_g_cm3=7.74 pbc="T T T"
Pr 0.0000 0.0000 0.0000
Pr 1.8771 0.0000 8.4814
Pr 0.0000 2.7701 2.8385
Tm 0.0000 0.0000 5.3297
Tm 0.0000 0.0000 17.3101
Cd 1.8771 0.0000 2.7857
Cd 0.0000 0.0000 11.3199
Cd 0.0000 2.7701 8.5342

=====

4
Lattice="0.0000 3.7413 3.7413 3.7413 0.0000 3.7413 3.7413 3.7413 0.0000" Properties=species:S:1:pos:R:3 comment="GGA-PBE AcSmPtAu, relaxed" final_energy_ev_per_atom=-5.410 magmom_total_mub_per_fu=0.00 de_polymorph_mev_per_atom=86.0 rho_g_cm3=12.20 pbc="T T T"
Ac 0.0000 0.0000 0.0000
Sm 3.7413 3.7413 3.7413
Pt 5.6119 5.6119 5.6119
Au 1.8706 1.8706 1.8706